[1]
Here is a crystal of KMgTe2 relaxed with PBEsol from Alexandria. Energies are from meta-GGA SCAN.

## Properties
Its space-group type is P4mm, No. 99. Its raw formation energy is -723 meV per atom.

Geometry as POSCAR:
```
KMgTe2
1.0
3.901 0.000 0.000
0.000 3.901 0.000
0.000 0.000 9.125
K Mg Te
1 1 2
Cartesian
0.000 0.000 4.295
1.951 1.951 8.593
0.000 0.000 7.677
1.951 1.951 2.248
```


[2]
Here is a crystal of KMgTl2 relaxed with PBEsol from Alexandria. Energies are from meta-GGA SCAN.

## Properties
Its space-group type is Pm, No. 6. The formation enthalpy at 0 K is -0.315 eV/f.u.

Geometry as POSCAR:
```
KMgTl2
1.0
3.379 0.000 -0.003
0.000 5.077 0.000
-1.559 0.000 7.032
K Mg Tl
1 1 2
Cartesian
0.991 0.000 3.321
-0.477 2.539 5.883
1.392 0.000 6.750
2.644 2.539 1.618
```


[3]
Here is a crystal of K2MgTl relaxed with PBEsol from Alexandria. Energies are from meta-GGA SCAN.

## Properties
Its space-group type is P4mm, No. 99. The formation enthalpy at 0 K is -0.213 eV/f.u.

Geometry as POSCAR:
```
K2MgTl
1.0
-3.691 1.554 -0.550
-1.026 -1.111 3.749
3.263 9.008 3.561
K Mg Tl
2 1 1
Cartesian
3.029 8.361 3.305
-1.331 3.058 2.721
1.888 5.212 2.060
-0.145 6.333 4.016
```


[4]
Here is a crystal of KMgTl3 relaxed with PBEsol from Alexandria. Energies are from meta-GGA SCAN.

## Properties
Its space-group type is Pm-3m, No. 221. The formation enthalpy at 0 K is -0.104 eV/f.u.

Geometry as POSCAR:
```
KMgTl3
1.0
5.567 0.000 0.000
0.000 5.567 0.000
0.000 0.000 5.567
Mg Tl K
1 3 1
Cartesian
0.000 0.000 0.000
0.000 2.783 0.000
0.000 0.000 2.783
2.783 0.000 0.000
2.783 2.783 2.783
```


| no. | calculated density (kg/m3) | energy (eV/cell) |
| --- | --- | --- |
| 1 | 3809 | -90.7 |
| 2 | 6500 | -158.3 |
| 3 | 3051 | -94.2 |
| 4 | 6512 | -230.5 |